Density functional theory data (PBE) for a relaxed structure of Li16Ca2Zn.

Cell and atoms, written as CIF:
```
data_Li16Ca2Zn
_space_group_name_H-M_alt 'R 3 m'
_space_group_IT_number 160
_space_group_name_Hall 'R 3 -2"'
_cell_length_a 10.0229
_cell_length_b 10.0229
_cell_length_c 14.3099
_cell_angle_alpha 90.00
_cell_angle_beta 90.00
_cell_angle_gamma 120.00
loop_
_atom_site_label
_atom_site_type_symbol
_atom_site_fract_x
_atom_site_fract_y
_atom_site_fract_z
Li1 Li 0.0000 0.0000 0.0493
Li2 Li 0.0007 0.2809 0.1464
Li3 Li 0.0040 0.5020 0.0000
Li4 Li 0.1701 0.3402 0.6228
Li5 Li 0.1781 0.3562 0.9794
Ca1 Ca 0.0000 0.0000 0.4827
Ca2 Ca 0.0000 0.0000 0.8006
Zn1 Zn 0.0000 0.0000 0.2444
```

- Crystal system: trigonal
- DFT formation energy: 0.35 kJ per mole of atoms
- Total energy: -1.89 eV/atom